# 1
DFT (PBE) results for a relaxed Y5Ru3 crystal.

Magnetization ... 0.0 μB per cell
Calculated formation energy ... -0.28 eV/atom

Cell lengths 6.1184, 8.3646, 8.3646 Å; angles 82.31, 68.55, 68.55 degrees
Fractional coordinates of all 16 atoms:
1 Ru 0.8447 0.8107 0.5000
2 Ru 0.7500 0.0000 0.0000
3 Ru 0.6553 0.5000 0.1893
4 Ru 0.3447 0.5000 0.8107
5 Ru 0.2500 0.0000 0.0000
6 Ru 0.1553 0.1893 0.5000
7 Y 0.9199 0.2891 0.8711
8 Y 0.7910 0.1289 0.2891
9 Y 0.7500 0.5000 0.5000
10 Y 0.7090 0.7109 0.8711
11 Y 0.5801 0.1289 0.7109
12 Y 0.4199 0.8711 0.2891
13 Y 0.2910 0.2891 0.1289
14 Y 0.2500 0.5000 0.5000
15 Y 0.2090 0.8711 0.7109
16 Y 0.0801 0.7109 0.1289

=====

# 2
DFT (PBE) results for a relaxed YSIO2 crystal.

Raw formation energy ... -0.19 eV/atom
Magnetization ... 0.0 μB per cell

Cell lengths 4.2248, 4.2248, 5.0677 Å; angles 90.00, 90.00, 90.00 degrees
Fractional coordinates of all 5 atoms:
1 I 0.0000 0.0000 0.5000
2 Y 0.5000 0.5000 0.5000
3 S 0.0000 0.0000 0.0000
4 O 0.0000 0.5000 0.0000
5 O 0.5000 0.0000 0.0000

=====

# 3
DFT (PBE) results for a relaxed ZnCd2Cu crystal.

Magnetization ... 0.0 μB per cell
Calculated formation energy ... 0.04 eV/atom

Cell lengths 3.1016, 3.3656, 6.7376 Å; angles 90.00, 90.00, 90.00 degrees
Fractional coordinates of all 4 atoms:
1 Zn 0.5000 0.5000 0.7057
2 Cu 0.0000 0.0000 0.5373
3 Cd 0.0000 0.0000 0.9734
4 Cd 0.5000 0.5000 0.2837

=====

# 4
DFT (PBE) results for a relaxed Pr3Se3Cl crystal.

Raw formation energy ... -1.81 eV/atom
Magnetization ... 0.0 μB per cell

Cell lengths 5.9618, 9.1077, 9.1077 Å; angles 120.00, 90.00, 90.00 degrees
Fractional coordinates of all 14 atoms:
1 Pr 0.2500 0.6881 0.6526
2 Pr 0.2500 0.3474 0.0355
3 Pr 0.2500 0.9645 0.3119
4 Pr 0.7500 0.3119 0.3474
5 Pr 0.7500 0.6526 0.9645
6 Pr 0.7500 0.0355 0.6881
7 Se 0.7500 0.6895 0.6443
8 Se 0.7500 0.3557 0.0452
9 Se 0.7500 0.9548 0.3105
10 Se 0.2500 0.3105 0.3557
11 Se 0.2500 0.6443 0.9548
12 Se 0.2500 0.0452 0.6895
13 Cl 0.2500 0.6667 0.3333
14 Cl 0.7500 0.3333 0.6667

=====

# 5
DFT (PBE) results for a relaxed KCa2GeCl crystal.

Raw formation energy ... -0.32 eV/atom
Magnetization ... 0.0 μB per cell

Cell lengths 5.7493, 6.2639, 5.7493 Å; angles 90.00, 90.00, 90.00 degrees
Fractional coordinates of all 5 atoms:
1 K 0.5000 0.5000 0.5000
2 Ge 0.0000 0.0000 0.0000
3 Ca 0.0000 0.0000 0.5000
4 Ca 0.5000 0.0000 0.0000
5 Cl 0.0000 0.5000 0.0000

=====

# 6
DFT (PBE) results for a relaxed Y4ErTl crystal.

Magnetization ... 0.0 μB per cell
Calculated formation energy ... -0.12 eV/atom

Cell lengths 3.6043, 3.6043, 14.1719 Å; angles 90.01, 90.01, 90.00 degrees
Fractional coordinates of all 6 atoms:
1 Y 0.5000 0.5000 0.8263
2 Y 0.5000 0.5000 0.1737
3 Y 0.0000 0.0000 0.6482
4 Y 0.0000 0.0000 0.3518
5 Er 0.0000 0.0000 0.0000
6 Tl 0.5000 0.5000 0.5000

=====

# 7
DFT (PBE) results for a relaxed Pr7YEr4 crystal.

Magnetization ... 0.1 μB per cell
Calculated formation energy ... 0.21 eV/atom

Cell lengths 6.0421, 9.7402, 8.6713 Å; angles 62.31, 69.61, 71.93 degrees
Fractional coordinates of all 12 atoms:
1 Pr 0.7864 0.8911 0.5360
2 Pr 0.2136 0.1089 0.4640
3 Pr 0.0892 0.5433 0.2783
4 Pr 0.9108 0.4567 0.7217
5 Pr 0.2223 0.7457 0.8098
6 Pr 0.5000 0.0000 0.0000
7 Pr 0.7777 0.2543 0.1902
8 Y 0.0000 0.0000 0.0000
9 Er 0.5662 0.2988 0.5688
10 Er 0.4338 0.7012 0.4312
11 Er 0.6669 0.6343 0.0319
12 Er 0.3331 0.3657 0.9681

=====

# 8
DFT (PBE) results for a relaxed ErZn2Pt3 crystal.

Magnetization ... 0.0 μB per cell
Calculated formation energy ... -0.85 eV/atom

Cell lengths 4.3993, 4.3993, 12.2209 Å; angles 90.00, 90.00, 120.00 degrees
Fractional coordinates of all 12 atoms:
1 Er 0.0000 0.0000 0.2500
2 Er 0.0000 0.0000 0.7500
3 Zn 0.6667 0.3333 0.4170
4 Zn 0.3333 0.6667 0.5830
5 Zn 0.3333 0.6667 0.9170
6 Zn 0.6667 0.3333 0.0830
7 Pt 0.0000 0.0000 0.5000
8 Pt 0.0000 0.0000 0.0000
9 Pt 0.6667 0.3333 0.6312
10 Pt 0.3333 0.6667 0.1312
11 Pt 0.6667 0.3333 0.8688
12 Pt 0.3333 0.6667 0.3688

=====

# 9
DFT (PBE) results for a relaxed Dy3Er2Pb4 crystal.

Magnetization ... 0.0 μB per cell
Calculated formation energy ... -0.42 eV/atom

Cell lengths 4.9557, 6.8025, 8.5049 Å; angles 104.77, 106.94, 90.00 degrees
Fractional coordinates of all 9 atoms:
1 Dy 0.1143 0.5882 0.2285
2 Dy 0.8857 0.4118 0.7715
3 Dy 0.0000 0.0000 0.0000
4 Er 0.6699 0.0665 0.3397
5 Er 0.3301 0.9335 0.6603
6 Pb 0.4901 0.7171 0.9802
7 Pb 0.2460 0.3065 0.4921
8 Pb 0.5099 0.2829 0.0198
9 Pb 0.7540 0.6935 0.5079

=====

# 10
DFT (PBE) results for a relaxed InP2IrS crystal.

Raw formation energy ... 1.77 eV/atom
Magnetization ... 0.2 μB per cell

Cell lengths 4.8571, 4.8571, 4.8783 Å; angles 90.00, 90.00, 90.00 degrees
Last column: magnetic moment on the atom in μB.
Fractional coordinates of all 5 atoms:
1 P 0.0000 0.5000 0.0000  -0.02
2 P 0.5000 0.0000 0.0000  -0.02
3 S 0.0000 0.0000 0.5000  0.02
4 Ir 0.5000 0.5000 0.5000  0.23
5 In 0.0000 0.0000 0.0000  0.00

=====

# 11
DFT (PBE) results for a relaxed Y5IrS4 crystal.

Raw formation energy ... -1.72 eV/atom
Magnetization ... 0.0 μB per cell

Cell lengths 3.9580, 3.9580, 14.3449 Å; angles 97.93, 97.93, 90.00 degrees
Fractional coordinates of all 10 atoms:
1 Y 0.0978 0.0978 0.1956
2 Y 0.5000 0.5000 0.0000
3 Y 0.9022 0.9022 0.8044
4 Y 0.2967 0.2967 0.5933
5 Y 0.7033 0.7033 0.4067
6 Ir 0.0000 0.0000 0.0000
7 S 0.3956 0.3956 0.7912
8 S 0.8023 0.8023 0.6045
9 S 0.1977 0.1977 0.3955
10 S 0.6044 0.6044 0.2088

=====

# 12
DFT (PBE) results for a relaxed OsPtRh4 crystal.

Magnetization ... 0.0 μB per cell
Calculated formation energy ... 0.01 eV/atom

Cell lengths 2.7272, 2.7272, 11.6394 Å; angles 90.00, 90.00, 90.00 degrees
Fractional coordinates of all 6 atoms:
1 Os 0.0000 0.0000 0.0000
2 Pt 0.5000 0.5000 0.5000
3 Rh 0.5000 0.5000 0.1613
4 Rh 0.0000 0.0000 0.6696
5 Rh 0.0000 0.0000 0.3304
6 Rh 0.5000 0.5000 0.8387

=====

# 13
DFT (PBE) results for a relaxed DyEr2Rh3 crystal.

Magnetization ... 0.0 μB per cell
Calculated formation energy ... -0.92 eV/atom

Cell lengths 3.4065, 3.4065, 10.2053 Å; angles 90.00, 90.00, 90.00 degrees
Fractional coordinates of all 6 atoms:
1 Dy 0.5000 0.5000 0.5000
2 Er 0.5000 0.5000 0.8341
3 Er 0.5000 0.5000 0.1659
4 Rh 0.0000 0.0000 0.0000
5 Rh 0.0000 0.0000 0.6691
6 Rh 0.0000 0.0000 0.3309

=====

# 14
DFT (PBE) results for a relaxed Na3Zr3TiS8 crystal.

Raw formation energy ... -1.48 eV/atom
Magnetization ... 0.5 μB per cell

Cell lengths 7.2612, 7.2595, 8.1002 Å; angles 116.62, 90.00, 120.01 degrees
Last column: magnetic moment on the atom in μB.
Fractional coordinates of all 15 atoms:
1 Na 0.0000 0.0000 0.0000  0.00
2 Na 0.0000 0.5000 0.0000  0.00
3 Na 0.5000 0.5000 0.0000  0.00
4 Zr 0.5000 0.0000 0.5000  0.00
5 Zr 0.5000 0.5000 0.5000  0.00
6 Zr 0.0000 0.5000 0.5000  0.00
7 Ti 0.0000 0.0000 0.5000  0.39
8 S 0.2580 0.5160 0.2745  0.00
9 S 0.7420 0.4840 0.7255  0.00
10 S 0.7665 0.5330 0.2854  0.00
11 S 0.2335 0.4670 0.7146  0.00
12 S 0.7666 0.0183 0.2854  0.00
13 S 0.2334 0.9817 0.7146  0.00
14 S 0.2516 0.0183 0.2854  0.00
15 S 0.7484 0.9817 0.7146  0.00

=====

# 15
DFT (PBE) results for a relaxed Mg2FeCuB crystal.

Magnetization ... 2.9 μB per cell
Calculated formation energy ... 1.28 eV/atom

Cell lengths 4.6720, 4.4431, 4.6720 Å; angles 90.00, 90.00, 90.00 degrees
Last column: magnetic moment on the atom in μB.
Fractional coordinates of all 5 atoms:
1 Mg 0.0000 0.0000 0.5000  -0.02
2 Mg 0.5000 0.0000 0.0000  -0.01
3 B 0.5000 0.5000 0.5000  -0.03
4 Fe 0.0000 0.5000 0.0000  2.99
5 Cu 0.0000 0.0000 0.0000  0.07